# 1
# Ce2UC | Alexandria via LeMat-Bulk | GGA-PBE | relaxed
# E_form = 105 kJ/mol of formula units
# Energy above the most stable polymorph in this dataset = 64.8 meV/atom
data_Ce2UC
_cell_length_a 3.112
_cell_length_b 3.112
_cell_length_c 8.118
_cell_angle_alpha 90.00
_cell_angle_beta 90.00
_cell_angle_gamma 90.00
_symmetry_space_group_name_H-M 'P 4/m m m'
_symmetry_Int_Tables_number 123
_symmetry_space_group_name_Hall '-P 4 2'
loop_
_atom_site_label
_atom_site_type_symbol
_atom_site_fract_x
_atom_site_fract_y
_atom_site_fract_z
Ce1 Ce 0.000 0.000 0.175
U1 U 0.500 0.500 0.500
C1 C 0.500 0.500 0.000

# 2
# CeU2C3 | Alexandria via LeMat-Bulk | GGA-PBE | relaxed
# E_form = -77 kJ/mol of formula units
# Energy above the most stable polymorph in this dataset = 0.0 meV/atom
data_CeU2C3
_cell_length_a 3.537
_cell_length_b 5.070
_cell_length_c 10.513
_cell_angle_alpha 90.00
_cell_angle_beta 90.00
_cell_angle_gamma 90.00
_symmetry_space_group_name_H-M 'I m m m'
_symmetry_Int_Tables_number 71
_symmetry_space_group_name_Hall '-I 2 2'
loop_
_atom_site_label
_atom_site_type_symbol
_atom_site_fract_x
_atom_site_fract_y
_atom_site_fract_z
Ce1 Ce 0.000 0.000 0.000
U1 U 0.000 0.000 0.336
C1 C 0.000 0.500 0.000
C2 C 0.000 0.500 0.311

# 3
# CeUC3 | Alexandria via LeMat-Bulk | GGA-PBE | relaxed
# E_form = 137 kJ/mol of formula units
data_CeUC3
_cell_length_a 4.306
_cell_length_b 4.214
_cell_length_c 8.986
_cell_angle_alpha 90.00
_cell_angle_beta 90.00
_cell_angle_gamma 90.00
_symmetry_space_group_name_H-M 'A m m 2'
_symmetry_Int_Tables_number 38
loop_
_symmetry_equiv_pos_as_xyz
'x,y,z'
'-x,-y,z'
'-x,y,z'
'x,-y,z'
'x,y+1/2,z+1/2'
'-x,-y+1/2,z+1/2'
'-x,y+1/2,z+1/2'
'x,-y+1/2,z+1/2'
loop_
_atom_site_label
_atom_site_type_symbol
_atom_site_fract_x
_atom_site_fract_y
_atom_site_fract_z
Ce1 Ce 0.000 0.000 0.000
U1 U 0.500 0.000 0.709
C1 C 0.000 0.000 0.692
C2 C 0.500 0.161 0.430

# 4
# CeUC2 | Alexandria via LeMat-Bulk | GGA-PBE | relaxed
# E_form = -69 kJ/mol of formula units
# Energy above the most stable polymorph in this dataset = 0.0 meV/atom
data_CeUC2
_cell_length_a 3.5910
_cell_length_b 3.5910
_cell_length_c 17.3781
_cell_angle_alpha 90.00
_cell_angle_beta 90.00
_cell_angle_gamma 120.00
_symmetry_space_group_name_H-M 'R -3 m'
_symmetry_Int_Tables_number 166
_symmetry_space_group_name_Hall '-R 3 2"'
loop_
_atom_site_label
_atom_site_type_symbol
_atom_site_fract_x
_atom_site_fract_y
_atom_site_fract_z
Ce1 Ce 0.0000 0.0000 0.0000
U1 U 0.0000 0.0000 0.5000
C1 C 0.0000 0.0000 0.2348

# 5
# CeUC2 | Alexandria via LeMat-Bulk | GGA-PBE | relaxed
# E_form = 6 kJ/mol of formula units
# Energy above the most stable polymorph in this dataset = 193.8 meV/atom
data_CeUC2
_cell_length_a 3.4077
_cell_length_b 3.4077
_cell_length_c 18.6994
_cell_angle_alpha 90.00
_cell_angle_beta 90.00
_cell_angle_gamma 120.00
_symmetry_space_group_name_H-M 'R 3 m'
_symmetry_Int_Tables_number 160
_symmetry_space_group_name_Hall 'R 3 -2"'
loop_
_atom_site_label
_atom_site_type_symbol
_atom_site_fract_x
_atom_site_fract_y
_atom_site_fract_z
Ce1 Ce 0.0000 0.0000 0.0000
U1 U 0.0000 0.0000 0.1707
C1 C 0.0000 0.0000 0.4318
C2 C 0.0000 0.0000 0.5819

# 6
# Ce2UC4 | Alexandria via LeMat-Bulk | GGA-PBE | relaxed
# E_form = -32 kJ/mol of formula units
data_Ce2UC4
_cell_length_a 5.950
_cell_length_b 3.724
_cell_length_c 6.017
_cell_angle_alpha 90.00
_cell_angle_beta 117.30
_cell_angle_gamma 90.00
_symmetry_space_group_name_H-M 'P 1 2/m 1'
_symmetry_Int_Tables_number 10
loop_
_symmetry_equiv_pos_as_xyz
'x,y,z'
'-x,-y,-z'
'-x,y,-z'
'x,-y,z'
loop_
_atom_site_label
_atom_site_type_symbol
_atom_site_fract_x
_atom_site_fract_y
_atom_site_fract_z
Ce1 Ce 0.166 0.000 0.301
U1 U 0.500 0.500 0.000
C1 C 0.113 0.500 0.993
C2 C 0.415 0.000 0.734

# 7
# CeU2C3 | Alexandria via LeMat-Bulk | GGA-PBE | relaxed
# E_form = -17 kJ/mol of formula units
# Energy above the most stable polymorph in this dataset = 103.2 meV/atom
data_CeU2C3
_cell_length_a 5.827
_cell_length_b 9.926
_cell_length_c 6.791
_cell_angle_alpha 90.00
_cell_angle_beta 90.00
_cell_angle_gamma 90.00
_symmetry_space_group_name_H-M 'I m m a'
_symmetry_Int_Tables_number 74
_symmetry_space_group_name_Hall '-I 2b 2'
loop_
_atom_site_label
_atom_site_type_symbol
_atom_site_fract_x
_atom_site_fract_y
_atom_site_fract_z
Ce1 Ce 0.000 0.250 0.078
U1 U 0.000 0.072 0.654
C1 C 0.123 0.000 0.000
C2 C 0.250 0.250 0.750

# 8
# Ce5UC4 | Alexandria via LeMat-Bulk | GGA-PBE | relaxed
# E_form = -138 kJ/mol of formula units
data_Ce5UC4
_cell_length_a 15.560
_cell_length_b 3.550
_cell_length_c 7.151
_cell_angle_alpha 90.00
_cell_angle_beta 101.72
_cell_angle_gamma 90.00
_symmetry_space_group_name_H-M 'C 1 2/m 1'
_symmetry_Int_Tables_number 12
loop_
_symmetry_equiv_pos_as_xyz
'x,y,z'
'-x,-y,-z'
'-x,y,-z'
'x,-y,z'
'x+1/2,y+1/2,z'
'-x+1/2,-y+1/2,-z'
'-x+1/2,y+1/2,-z'
'x+1/2,-y+1/2,z'
loop_
_atom_site_label
_atom_site_type_symbol
_atom_site_fract_x
_atom_site_fract_y
_atom_site_fract_z
Ce1 Ce 0.000 0.000 0.000
Ce2 Ce 0.162 0.500 0.817
Ce3 Ce 0.168 0.500 0.332
U1 U 0.000 0.000 0.500
C1 C 0.001 0.500 0.725
C2 C 0.159 0.000 0.573

# 9
# CeUC2 | Alexandria via LeMat-Bulk | GGA-PBE | relaxed
# E_form = -59 kJ/mol of formula units
# Energy above the most stable polymorph in this dataset = 26.1 meV/atom
data_CeUC2
_cell_length_a 3.419
_cell_length_b 6.135
_cell_length_c 6.006
_cell_angle_alpha 90.00
_cell_angle_beta 90.00
_cell_angle_gamma 90.00
_symmetry_space_group_name_H-M 'P m m n'
_symmetry_Int_Tables_number 59
loop_
_symmetry_equiv_pos_as_xyz
'x,y,z'
'-x,-y,-z'
'-x+1/2,-y+1/2,z'
'x+1/2,y+1/2,-z'
'x+1/2,-y,-z'
'-x+1/2,y,z'
'-x,y+1/2,-z'
'x,-y+1/2,z'
loop_
_atom_site_label
_atom_site_type_symbol
_atom_site_fract_x
_atom_site_fract_y
_atom_site_fract_z
Ce1 Ce 0.250 0.250 0.085
U1 U 0.250 0.750 0.418
C1 C 0.250 0.004 0.715

# 10
# CeY2UC4 | Alexandria via LeMat-Bulk | GGA-PBE | relaxed
# E_form = -167 kJ/mol of formula units
data_CeY2UC4
_cell_length_a 6.159
_cell_length_b 3.633
_cell_length_c 6.267
_cell_angle_alpha 90.00
_cell_angle_beta 109.54
_cell_angle_gamma 90.00
_symmetry_space_group_name_H-M 'P 1 2/m 1'
_symmetry_Int_Tables_number 10
loop_
_symmetry_equiv_pos_as_xyz
'x,y,z'
'-x,-y,-z'
'-x,y,-z'
'x,-y,z'
loop_
_atom_site_label
_atom_site_type_symbol
_atom_site_fract_x
_atom_site_fract_y
_atom_site_fract_z
Ce1 Ce 0.000 0.000 0.000
Y1 Y 0.500 0.000 0.500
Y2 Y 0.500 0.500 0.000
U1 U 0.000 0.500 0.500
C1 C 0.224 0.000 0.728
C2 C 0.224 0.500 0.266

# 11
# CeVC2 | Alexandria via LeMat-Bulk | GGA-PBE | relaxed
# E_form = -79 kJ/mol of formula units
data_CeVC2
_cell_length_a 3.798
_cell_length_b 4.764
_cell_length_c 6.139
_cell_angle_alpha 90.00
_cell_angle_beta 90.00
_cell_angle_gamma 90.00
_symmetry_space_group_name_H-M 'A m m 2'
_symmetry_Int_Tables_number 38
loop_
_symmetry_equiv_pos_as_xyz
'x,y,z'
'-x,-y,z'
'-x,y,z'
'x,-y,z'
'x,y+1/2,z+1/2'
'-x,-y+1/2,z+1/2'
'-x,y+1/2,z+1/2'
'x,-y+1/2,z+1/2'
loop_
_atom_site_label
_atom_site_type_symbol
_atom_site_fract_x
_atom_site_fract_y
_atom_site_fract_z
Ce1 Ce 0.000 0.000 0.000
V1 V 0.500 0.000 0.416
C1 C 0.500 0.153 0.733

# 12
# CeV3C | Alexandria via LeMat-Bulk | GGA-PBE | relaxed
# E_form = 69 kJ/mol of formula units
data_CeV3C
_cell_length_a 4.182
_cell_length_b 4.182
_cell_length_c 4.182
_cell_angle_alpha 90.00
_cell_angle_beta 90.00
_cell_angle_gamma 90.00
_symmetry_space_group_name_H-M 'P m -3 m'
_symmetry_Int_Tables_number 221
_symmetry_space_group_name_Hall '-P 4 2 3'
loop_
_atom_site_label
_atom_site_type_symbol
_atom_site_fract_x
_atom_site_fract_y
_atom_site_fract_z
Ce1 Ce 0.000 0.000 0.000
V1 V 0.000 0.500 0.500
C1 C 0.500 0.500 0.500

# 13
# CeV2C | Alexandria via LeMat-Bulk | GGA-PBE | relaxed
# E_form = 111 kJ/mol of formula units
# Energy above the most stable polymorph in this dataset = 425.4 meV/atom
data_CeV2C
_cell_length_a 2.895
_cell_length_b 2.895
_cell_length_c 6.664
_cell_angle_alpha 90.00
_cell_angle_beta 90.00
_cell_angle_gamma 90.00
_symmetry_space_group_name_H-M 'P 4/m m m'
_symmetry_Int_Tables_number 123
_symmetry_space_group_name_Hall '-P 4 2'
loop_
_atom_site_label
_atom_site_type_symbol
_atom_site_fract_x
_atom_site_fract_y
_atom_site_fract_z
Ce1 Ce 0.000 0.000 0.000
V1 V 0.500 0.500 0.349
C1 C 0.000 0.000 0.500